Y2Be2GaNi5 | PBE | optimized geometry

Cell: 9.0448 9.0448 3.3449 Å, 90.00 90.00 90.00°
Space group P4/mbm (No. 127)
Inequivalent atoms, fractional coordinates:
Y (0.1825, 0.3175, 0.0000) x4
Be (0.1110, 0.6110, 0.0000) x4
Ga (0.0000, 0.0000, 0.0000) x2
Ni (0.0000, 0.5000, 0.5000) x2
Ni (0.0636, 0.7791, 0.5000) x8

Properties
The density of states at the Fermi level comes out at 0.575 states/eV per atom. The calculation puts the calculated total energy at -112.45 eV for the cell shown.